# NdDy2Mg3CuHg2 | OQMD | PBE | relaxed
# Magnetic moment (Bohr magnetons per cell): 0.11
# VASP energy (eV per cell): -51.8
data_NdDy2Mg3CuHg2
_chemical_formula_sum 'Nd2 Dy4 Mg6 Cu2 Hg4'
_cell_length_a 4.178
_cell_length_b 13.521
_cell_length_c 7.745
_cell_angle_alpha 90.00
_cell_angle_beta 90.00
_cell_angle_gamma 90.00
_space_group_name_H-M_alt 'A m m 2'
_space_group_IT_number 38
loop_
_space_group_symop_operation_xyz
'x,y,z'
'-x,-y,z'
'-x,y,z'
'x,-y,z'
'x,y+1/2,z+1/2'
'-x,-y+1/2,z+1/2'
'-x,y+1/2,z+1/2'
'x,-y+1/2,z+1/2'
loop_
_atom_site_label
_atom_site_fract_x
_atom_site_fract_y
_atom_site_fract_z
Nd1 0.000 0.000 0.000
Dy1 0.000 0.201 0.604
Mg1 0.500 0.000 0.638
Mg2 0.500 0.118 0.287
Cu1 0.000 0.000 0.408
Hg1 0.500 0.171 0.902

***

# Dy2TmMg3CuHg2 | OQMD | PBE | relaxed
# Magnetic moment (Bohr magnetons per cell): 0.00
# VASP energy (eV per cell): -51.3
data_Dy2TmMg3CuHg2
_chemical_formula_sum 'Dy4 Tm2 Mg6 Cu2 Hg4'
_cell_length_a 4.130
_cell_length_b 13.248
_cell_length_c 7.682
_cell_angle_alpha 90.00
_cell_angle_beta 90.00
_cell_angle_gamma 90.00
_space_group_name_H-M_alt 'A m m 2'
_space_group_IT_number 38
loop_
_space_group_symop_operation_xyz
'x,y,z'
'-x,-y,z'
'-x,y,z'
'x,-y,z'
'x,y+1/2,z+1/2'
'-x,-y+1/2,z+1/2'
'-x,y+1/2,z+1/2'
'x,-y+1/2,z+1/2'
loop_
_atom_site_label
_atom_site_fract_x
_atom_site_fract_y
_atom_site_fract_z
Dy1 0.000 0.202 0.000
Tm1 0.000 0.000 0.603
Mg1 0.500 0.000 0.964
Mg2 0.500 0.119 0.321
Cu1 0.000 0.000 0.204
Hg1 0.500 0.165 0.701

***

# DyTm2Mg3CuHg2 | OQMD | PBE | relaxed
# Magnetic moment (Bohr magnetons per cell): 0.02
# VASP energy (eV per cell): -51.0
data_DyTm2Mg3CuHg2
_chemical_formula_sum 'Dy2 Tm4 Mg6 Cu2 Hg4'
_cell_length_a 4.114
_cell_length_b 13.260
_cell_length_c 7.622
_cell_angle_alpha 90.00
_cell_angle_beta 90.00
_cell_angle_gamma 90.00
_space_group_name_H-M_alt 'A m m 2'
_space_group_IT_number 38
loop_
_space_group_symop_operation_xyz
'x,y,z'
'-x,-y,z'
'-x,y,z'
'x,-y,z'
'x,y+1/2,z+1/2'
'-x,-y+1/2,z+1/2'
'-x,y+1/2,z+1/2'
'x,-y+1/2,z+1/2'
loop_
_atom_site_label
_atom_site_fract_x
_atom_site_fract_y
_atom_site_fract_z
Dy1 0.000 0.000 0.000
Tm1 0.000 0.201 0.605
Mg1 0.500 0.000 0.641
Mg2 0.500 0.119 0.285
Cu1 0.000 0.000 0.406
Hg1 0.500 0.168 0.903

***

# Tb2DyCu2Hg3Pd | OQMD | PBE | relaxed
# Magnetic moment (Bohr magnetons per cell): 0.03
# Energy relative to the elements (meV/atom): -447
data_Tb2DyCu2Hg3Pd
_chemical_formula_sum 'Tb4 Dy2 Cu4 Hg6 Pd2'
_cell_length_a 3.763
_cell_length_b 13.293
_cell_length_c 7.672
_cell_angle_alpha 90.00
_cell_angle_beta 90.00
_cell_angle_gamma 90.00
_space_group_name_H-M_alt 'A m m 2'
_space_group_IT_number 38
loop_
_space_group_symop_operation_xyz
'x,y,z'
'-x,-y,z'
'-x,y,z'
'x,-y,z'
'x,y+1/2,z+1/2'
'-x,-y+1/2,z+1/2'
'-x,y+1/2,z+1/2'
'x,-y+1/2,z+1/2'
loop_
_atom_site_label
_atom_site_fract_x
_atom_site_fract_y
_atom_site_fract_z
Tb1 0.000 0.195 0.000
Dy1 0.000 0.000 0.586
Cu1 0.500 0.166 0.695
Hg1 0.500 0.000 0.914
Hg2 0.500 0.140 0.336
Pd1 0.000 0.000 0.196

***

Look up the magnetic moment of the fourth one. 0.03 Bohr magnetons per cell

***

What is the magnetic moment in the third record? 0.02 Bohr magnetons per cell

***

What is the formula in the fourth record? Tb2DyCu2Hg3Pd